First-principles (PBE-GGA) data for crystalline ScMnW2 at its relaxed geometry, as listed in Alexandria.

```
4
Lattice="2.670 -4.564 0.000 2.670 4.564 0.000 0.000 0.000 2.700" Properties=species:S:1:pos:R:3 pbc="T T T"
Sc 0.000 0.000 0.000
Mn 2.670 0.000 0.000
W 1.335 2.282 1.350
W 1.335 -2.282 1.350
```

Total magnetization (μB per atom): 0.5883
Crystal system: orthorhombic
Energy of formation from the pure elements (kJ/mol of formula units): 153
D(E_F) (states/eV per atom): 1.04
Distance to the lowest polymorph of the same formula (meV/atom): 306.3